#a
Material: Li2MnIr
Method: DFT, GGA-PBE
State: optimized geometry

## Properties
Its volume is 13.68 A^3/atom. As for the crystal system: monoclinic. As for the space group: C2/m.

Lattice parameters (Å, degrees): 4.8080 4.8080 4.4190 101.26 101.26 33.17
Fractional coordinates of all 4 atoms:
Li 0.2441 0.2441 0.2346
Li 0.7559 0.7559 0.7654
Mn 0.0000 0.0000 0.5000
Ir 0.5000 0.5000 0.0000


#b
Material: Li2MnIr
Method: DFT, GGA-PBE
State: optimized geometry

## Properties
Its volume is 13.69 A^3/atom. As for the crystal system: orthorhombic. As for the space group: Pmm2.

Lattice parameters (Å, degrees): 2.8313 4.2992 4.4977 90.00 90.00 90.00
Fractional coordinates of all 4 atoms:
Li 0.0000 0.0000 0.0000
Li 0.5000 0.5000 0.0042
Mn 0.0000 0.5000 0.5036
Ir 0.5000 0.0000 0.5001


Which structure wins on stability? #a wins.


#a
Material: LiMn2Ir2
Method: DFT, GGA-PBE
State: optimized geometry

## Properties
Its volume is 16.58 A^3/atom. As for the crystal system: tetragonal. As for the space group: I4/mmm.

Lattice parameters (Å, degrees): 6.0101 6.0101 6.0101 141.67 141.67 55.33
Fractional coordinates of all 5 atoms:
Li 0.0000 0.0000 0.0000
Mn 0.2500 0.7500 0.5000
Mn 0.7500 0.2500 0.5000
Ir 0.3867 0.3867 0.0000
Ir 0.6133 0.6133 0.0000


#b
Material: LiMn2Ir2
Method: DFT, GGA-PBE
State: optimized geometry

## Properties
Its volume is 13.79 A^3/atom. As for the crystal system: tetragonal. As for the space group: P4/mbm.

Lattice parameters (Å, degrees): 7.2291 7.2291 2.6394 90.00 90.00 90.00
Fractional coordinates of all 10 atoms:
Li 0.0000 0.0000 0.0000
Li 0.5000 0.5000 0.0000
Mn 0.1159 0.3841 0.0000
Mn 0.3841 0.8841 0.0000
Mn 0.6159 0.1159 0.0000
Mn 0.8841 0.6159 0.0000
Ir 0.1740 0.6740 0.5000
Ir 0.3260 0.1740 0.5000
Ir 0.6740 0.8260 0.5000
Ir 0.8260 0.3260 0.5000


Which structure wins on stability? #b wins.


#a
Material: LiMo2Ir
Method: DFT, GGA-PBE
State: optimized geometry

## Properties
Its volume is 14.51 A^3/atom. As for the crystal system: orthorhombic. As for the space group: Pmmm.

Lattice parameters (Å, degrees): 3.0438 4.2430 4.4950 90.00 90.00 90.00
Fractional coordinates of all 4 atoms:
Li 0.0000 0.0000 0.0000
Mo 0.0000 0.5000 0.5000
Mo 0.5000 0.0000 0.5000
Ir 0.5000 0.5000 0.0000


#b
Material: LiMo2Ir
Method: DFT, GGA-PBE
State: optimized geometry

## Properties
Its volume is 14.50 A^3/atom. As for the crystal system: orthorhombic. As for the space group: Pmmm.

Lattice parameters (Å, degrees): 2.7282 4.0813 5.2091 90.00 90.00 90.00
Fractional coordinates of all 4 atoms:
Li 0.0000 0.0000 0.0000
Mo 0.5000 0.5000 0.2450
Mo 0.5000 0.5000 0.7550
Ir 0.0000 0.0000 0.5000


Which structure wins on stability? #b wins.


#a
Material: LiMo2Ir
Method: DFT, GGA-PBE
State: optimized geometry

## Properties
Its volume is 14.43 A^3/atom. As for the crystal system: tetragonal. As for the space group: P4mm.

Lattice parameters (Å, degrees): 3.1619 3.1619 5.7724 90.00 90.00 90.00
Fractional coordinates of all 4 atoms:
Li 0.0000 0.0000 0.0000
Mo 0.0000 0.0000 0.5023
Mo 0.5000 0.5000 0.2579
Ir 0.5000 0.5000 0.7910


#b
Material: LiMo2Ir
Method: DFT, GGA-PBE
State: optimized geometry

## Properties
Its volume is 14.60 A^3/atom. As for the crystal system: tetragonal. As for the space group: P4/mmm.

Lattice parameters (Å, degrees): 3.3239 3.3239 5.2847 90.00 90.00 90.00
Fractional coordinates of all 4 atoms:
Li 0.0000 0.0000 0.0000
Mo 0.5000 0.5000 0.2336
Mo 0.5000 0.5000 0.7664
Ir 0.0000 0.0000 0.5000


Which structure wins on stability? #a wins.


#a
Material: LiMo2Ir
Method: DFT, GGA-PBE
State: optimized geometry

## Properties
Its volume is 14.65 A^3/atom. As for the crystal system: cubic. As for the space group: Fm-3m.

Lattice parameters (Å, degrees): 4.3595 4.3595 4.3595 60.00 60.00 60.00
Fractional coordinates of all 4 atoms:
Li 0.0000 0.0000 0.0000
Mo 0.2500 0.2500 0.2500
Mo 0.7500 0.7500 0.7500
Ir 0.5000 0.5000 0.5000


#b
Material: LiMo2Ir
Method: DFT, GGA-PBE
State: optimized geometry

## Properties
Its volume is 14.76 A^3/atom. As for the crystal system: monoclinic. As for the space group: Cm.

Lattice parameters (Å, degrees): 4.6079 4.6079 4.9598 95.64 95.64 34.30
Fractional coordinates of all 4 atoms:
Li 0.0000 0.0000 0.0000
Mo 0.2446 0.2446 0.7690
Mo 0.4865 0.4865 0.4876
Ir 0.7470 0.7470 0.2451


Which structure wins on stability? #b wins.


#a
Material: LiMo2Ir
Method: DFT, GGA-PBE
State: optimized geometry

## Properties
Its volume is 15.69 A^3/atom. As for the crystal system: trigonal. As for the space group: R-3m.

Lattice parameters (Å, degrees): 9.6089 9.6089 9.6089 16.55 16.55 16.55
Fractional coordinates of all 4 atoms:
Li 0.0000 0.0000 0.0000
Mo 0.2452 0.2452 0.2452
Mo 0.7548 0.7548 0.7548
Ir 0.5000 0.5000 0.5000


#b
Material: LiMo2Ir
Method: DFT, GGA-PBE
State: optimized geometry

## Properties
Its volume is 16.46 A^3/atom. As for the crystal system: tetragonal. As for the space group: I-42d.

Lattice parameters (Å, degrees): 5.6934 5.6934 5.6934 101.39 101.39 127.22
Fractional coordinates of all 8 atoms:
Li 0.0000 0.0000 0.0000
Li 0.7500 0.2500 0.5000
Mo 0.1531 0.6250 0.0281
Mo 0.3750 0.4031 0.5281
Mo 0.5969 0.1250 0.9719
Mo 0.8750 0.8469 0.4719
Ir 0.2500 0.7500 0.5000
Ir 0.5000 0.5000 0.0000


Which structure wins on stability? #a wins.


#a
Material: LiMo2Ir
Method: DFT, GGA-PBE
State: optimized geometry

## Properties
Its volume is 14.90 A^3/atom. As for the crystal system: orthorhombic. As for the space group: Imm2.

Lattice parameters (Å, degrees): 5.1027 5.1027 5.1027 145.24 127.20 64.78
Fractional coordinates of all 4 atoms:
Li 0.0000 0.0000 0.0000
Mo 0.5016 0.5016 0.0000
Mo 0.7304 0.2304 0.5000
Ir 0.2494 0.7494 0.5000


#b
Material: LiMo2Ir
Method: DFT, GGA-PBE
State: optimized geometry

## Properties
Its volume is 14.66 A^3/atom. As for the crystal system: monoclinic. As for the space group: C2/m.

Lattice parameters (Å, degrees): 5.0279 5.0279 2.7005 96.75 96.75 118.10
Fractional coordinates of all 4 atoms:
Li 0.0000 0.0000 0.0000
Mo 0.0000 0.5000 0.5000
Mo 0.5000 0.0000 0.5000
Ir 0.5000 0.5000 0.0000


Which structure wins on stability? #b wins.


#a
Material: LiMo2Ir
Method: DFT, GGA-PBE
State: optimized geometry

## Properties
Its volume is 14.45 A^3/atom. As for the crystal system: monoclinic. As for the space group: P2/m.

Lattice parameters (Å, degrees): 2.7252 4.1240 5.1882 90.00 97.45 90.00
Fractional coordinates of all 4 atoms:
Li 0.0000 0.0000 0.0000
Mo 0.4709 0.5000 0.2416
Mo 0.5291 0.5000 0.7584
Ir 0.0000 0.0000 0.5000


#b
Material: LiMo2Ir
Method: DFT, GGA-PBE
State: optimized geometry

## Properties
Its volume is 14.62 A^3/atom. As for the crystal system: orthorhombic. As for the space group: Pmm2.

Lattice parameters (Å, degrees): 2.7273 3.9019 5.4941 90.00 90.00 90.00
Fractional coordinates of all 4 atoms:
Li 0.0000 0.0000 0.0000
Mo 0.0000 0.0000 0.5214
Mo 0.5000 0.5000 0.2395
Ir 0.5000 0.5000 0.7732


Which structure wins on stability? #a wins.